This record from Alexandria via LeMat-Bulk describes a relaxed LiLaRu2 crystal. The functional is PBE.

POSCAR file:
```
LiLaRu2
1.0
3.000 -0.007 0.000
-1.266 2.720 0.000
0.000 0.000 8.573
Li Ru La
1 2 1
direct
0.500 0.500 0.750
0.000 0.000 0.506
0.000 0.000 0.994
0.500 0.500 0.250
```

Properties
* ρ: 8.270 g/cm³
* ΔE to the lowest computed polymorph: 1.59 eV/f.u.
* space group: Cmmm, No. 65
* formation enthalpy at 0 K: 1.6 eV per formula unit